(1)
# SrThIrAu

SrThIrAu after structural relaxation (PBE-GGA, Alexandria).

The space group is F-43m (No. 216) and the conventional cell measures 7.3159, 7.3159 and 7.3159 Å, with angles of 90.00, 90.00 and 90.00 degrees. The inequivalent atoms are Sr at (0.0000, 0.0000, 0.0000), Th at (0.0000, 0.0000, 0.5000), Ir at (0.2500, 0.2500, 0.7500) and Au at (0.2500, 0.2500, 0.2500).

The formation energy is -491 meV/atom. For the size of the total moment, the calculation gives 0.00 μB per cell. The calculation puts the raw total energy at -23.20 eV per formula unit.

---

(2)
# SrTl2IrAu

SrTl2IrAu after structural relaxation (PBE-GGA, Alexandria).

The space group is P4/mmm (No. 123) and the conventional cell measures 6.2553, 6.2553 and 5.4902 Å, with angles of 90.00, 90.00 and 90.00 degrees. The inequivalent atoms are Sr at (0.0000, 0.0000, 0.0000), Tl at (0.0000, 0.5000, 0.0000), Ir at (0.5000, 0.5000, 0.5000) and Au at (0.0000, 0.0000, 0.5000).

The formation energy is 1489 meV/atom. For the size of the total moment, the calculation gives 1.46 μB per cell. The calculation puts the raw total energy at -11.11 eV per formula unit.

---

(3)
# SrVIr2Au

SrVIr2Au after structural relaxation (PBE-GGA, Alexandria).

The space group is P4/mmm (No. 123) and the conventional cell measures 4.6070, 4.6070 and 5.1138 Å, with angles of 90.00, 90.00 and 90.00 degrees. The inequivalent atoms are Sr at (0.0000, 0.0000, 0.0000), V at (0.5000, 0.5000, 0.5000), Ir at (0.0000, 0.5000, 0.5000) and Au at (0.5000, 0.5000, 0.0000).

The formation energy is 254 meV/atom. For the size of the total moment, the calculation gives 0.00 μB per cell. The calculation puts the raw total energy at -30.53 eV per formula unit.

---

(4)
# SrYIrAu

SrYIrAu after structural relaxation (PBE-GGA, Alexandria).

The space group is F-43m (No. 216) and the conventional cell measures 7.1908, 7.1908 and 7.1908 Å, with angles of 90.00, 90.00 and 90.00 degrees. The inequivalent atoms are Sr at (0.0000, 0.0000, 0.0000), Y at (0.0000, 0.0000, 0.5000), Ir at (0.2500, 0.2500, 0.7500) and Au at (0.2500, 0.2500, 0.2500).

The formation energy is -519 meV/atom. For the size of the total moment, the calculation gives 0.00 μB per cell. The calculation puts the raw total energy at -22.36 eV per formula unit.

---

(5)
# TaIrAu2

TaIrAu2 after structural relaxation (PBE-GGA, Alexandria).

The space group is Cmmm (No. 65) and the conventional cell measures 5.4098, 8.5150 and 2.9505 Å, with angles of 90.00, 90.00 and 90.00 degrees. The inequivalent atoms are Ta at (0.0000, 0.0000, 0.0000), Ir at (0.0000, 0.5000, 0.0000) and Au at (0.2500, 0.2500, 0.5000).

The value obtained for the relative energy among the computed polymorphs is 286 meV per atom. The formation energy is 142 meV/atom. For the size of the total moment, the calculation gives 0.00 μB per cell. The calculation puts the raw total energy at -26.70 eV per formula unit.

---

(6)
# TaIrAu2

TaIrAu2 after structural relaxation (PBE-GGA, Alexandria).

The space group is P4mm (No. 99) and the conventional cell measures 2.9139, 2.9139 and 8.0951 Å, with angles of 90.00, 90.00 and 90.00 degrees. The inequivalent atoms are Ta at (0.0000, 0.0000, 0.0000), Ir at (0.5000, 0.5000, 0.7841), Au at (0.0000, 0.0000, 0.5254) and Au at (0.5000, 0.5000, 0.2576).

The value obtained for the relative energy among the computed polymorphs is 2 meV per atom. The formation energy is -143 meV/atom. For the size of the total moment, the calculation gives 0.00 μB per cell. The calculation puts the raw total energy at -27.84 eV per formula unit.

---

(7)
# TaIr2Au

TaIr2Au after structural relaxation (PBE-GGA, Alexandria).

The space group is P4/mmm (No. 123) and the conventional cell measures 4.0896, 4.0896 and 3.8098 Å, with angles of 90.00, 90.00 and 90.00 degrees. The inequivalent atoms are Ta at (0.0000, 0.0000, 0.0000), Ir at (0.0000, 0.5000, 0.5000) and Au at (0.5000, 0.5000, 0.0000).

The formation energy is -277 meV/atom. For the size of the total moment, the calculation gives 0.00 μB per cell. The calculation puts the raw total energy at -33.96 eV per formula unit.

---

(8)
# TaIr2Au

TaIr2Au after structural relaxation (PBE-GGA, Alexandria).

The space group is P4/mmm (No. 123) and the conventional cell measures 2.9305, 2.9305 and 7.6852 Å, with angles of 90.00, 90.00 and 90.00 degrees. The inequivalent atoms are Ta at (0.0000, 0.0000, 0.0000), Ir at (0.5000, 0.5000, 0.2306) and Au at (0.0000, 0.0000, 0.5000).

The formation energy is -169 meV/atom. For the size of the total moment, the calculation gives 0.00 μB per cell. The calculation puts the raw total energy at -33.53 eV per formula unit.

---

(9)
# TaIrAu2

TaIrAu2 after structural relaxation (PBE-GGA, Alexandria).

The space group is R-3m (No. 166, hexagonal axes) and the conventional cell measures 2.8735, 2.8735 and 28.4879 Å, with angles of 90.00, 90.00 and 120.00 degrees. The inequivalent atoms are Ta at (0.0000, 0.0000, 0.0000), Ir at (0.0000, 0.0000, 0.5000) and Au at (0.0000, 0.0000, 0.2495).

The value obtained for the relative energy among the computed polymorphs is 359 meV per atom. The formation energy is 215 meV/atom. For the size of the total moment, the calculation gives 1.77 μB per cell. The calculation puts the raw total energy at -26.41 eV per formula unit.

---

(10)
# TaIrAu2

TaIrAu2 after structural relaxation (PBE-GGA, Alexandria).

The space group is I-4m2 (No. 119) and the conventional cell measures 4.0471, 4.0471 and 8.1372 Å, with angles of 90.00, 90.00 and 90.00 degrees. The inequivalent atoms are Ta at (0.0000, 0.0000, 0.0000), Ir at (0.0000, 0.5000, 0.2500), Au at (0.0000, 0.0000, 0.5000) and Au at (0.0000, 0.5000, 0.7500).

The value obtained for the relative energy among the computed polymorphs is 35 meV per atom. The formation energy is -110 meV/atom. For the size of the total moment, the calculation gives 0.00 μB per cell. The calculation puts the raw total energy at -27.71 eV per formula unit.

---

(11)
# TaIrAu2

TaIrAu2 after structural relaxation (PBE-GGA, Alexandria).

The space group is P4/mmm (No. 123) and the conventional cell measures 2.8967, 2.8967 and 8.0540 Å, with angles of 90.00, 90.00 and 90.00 degrees. The inequivalent atoms are Ta at (0.0000, 0.0000, 0.0000), Ir at (0.0000, 0.0000, 0.5000) and Au at (0.5000, 0.5000, 0.2511).

The value obtained for the relative energy among the computed polymorphs is 328 meV per atom. The formation energy is 183 meV/atom. For the size of the total moment, the calculation gives 0.00 μB per cell. The calculation puts the raw total energy at -26.54 eV per formula unit.

---

(12)
# TaIrAu2

TaIrAu2 after structural relaxation (PBE-GGA, Alexandria).

The space group is Fm-3m (No. 225) and the conventional cell measures 6.4653, 6.4653 and 6.4653 Å, with angles of 90.00, 90.00 and 90.00 degrees. The inequivalent atoms are Ta at (0.0000, 0.0000, 0.0000), Ir at (0.0000, 0.0000, 0.5000) and Au at (0.2500, 0.2500, 0.2500).

The value obtained for the relative energy among the computed polymorphs is 292 meV per atom. The formation energy is 147 meV/atom. For the size of the total moment, the calculation gives 0.00 μB per cell. The calculation puts the raw total energy at -26.68 eV per formula unit.

---

no.,N(E_F) (states/eV/atom)
1,0.966
2,1.466
3,0.840
4,0.487
5,0.518
6,0.893
7,0.343
8,1.024
9,1.198
10,0.541
11,0.805
12,0.924